A relaxed Tl2CuHPb crystal. Source: Alexandria, functional PBE.

Cell lengths 5.753, 5.753, 3.424 Å; angles 90.00, 90.00, 90.00 degrees
Positions (direct):
Tl: 0.000 0.500 0.000
Tl: 0.500 0.000 0.000
Cu: 0.000 0.000 0.000
H: 0.000 0.000 0.500
Pb: 0.500 0.500 0.500

Computed properties:
density	9.974	g/cm³
density of states at the Fermi level	0.308	states/eV/atom

---

A relaxed SrSb2Au4 crystal. Source: Alexandria, functional PBE.

Cell lengths 5.099, 18.397, 8.395 Å; angles 90.00, 122.94, 90.00 degrees
Positions (direct):
Sr: 0.210 0.142 0.493
Sr: 0.210 0.358 0.993
Sr: 0.790 0.642 0.007
Sr: 0.790 0.858 0.507
Sb: 0.326 0.723 0.525
Sb: 0.326 0.777 0.025
Sb: 0.425 0.530 0.257
Sb: 0.425 0.970 0.757
Sb: 0.575 0.030 0.243
Sb: 0.575 0.470 0.743
Sb: 0.674 0.223 0.975
Sb: 0.674 0.277 0.475
Au: 0.021 0.683 0.724
Au: 0.021 0.817 0.224
Au: 0.143 0.573 0.489
Au: 0.143 0.927 0.989
Au: 0.169 0.535 0.852
Au: 0.169 0.965 0.352
Au: 0.388 0.177 0.177
Au: 0.388 0.323 0.677
Au: 0.612 0.677 0.323
Au: 0.612 0.823 0.823
Au: 0.831 0.035 0.648
Au: 0.831 0.465 0.148
Au: 0.857 0.073 0.011
Au: 0.857 0.427 0.511
Au: 0.979 0.183 0.776
Au: 0.979 0.317 0.276

Computed properties:
E_form (uncorrected)	-2.51	eV per formula unit
density	11.247	g/cm³
density of states at the Fermi level	0.405	states/eV/atom

---

A relaxed SiBiO2F crystal. Source: Alexandria, functional PBE.

Cell lengths 4.448, 4.448, 4.451 Å; angles 90.00, 90.00, 90.00 degrees
Positions (direct):
Si: 0.000 0.000 0.000
Bi: 0.500 0.500 0.500
O: 0.000 0.500 0.500
O: 0.500 0.000 0.500
F: 0.500 0.500 0.000

Computed properties:
E_form (uncorrected)	-2.40	eV per formula unit
density	5.431	g/cm³
density of states at the Fermi level	0.441	states/eV/atom

---

A relaxed Ce2NdRh crystal. Source: Alexandria, functional PBE.

Cell lengths 9.581, 9.581, 9.581 Å; angles 22.88, 22.88, 22.88 degrees
Positions (direct):
Ce: 0.229 0.229 0.229
Ce: 0.771 0.771 0.771
Nd: 0.000 0.000 0.000
Rh: 0.500 0.500 0.500

Computed properties:
formation energy	-0.255	eV/atom
E above lowest polymorph	118	meV per atom
density	7.508	g/cm³
density of states at the Fermi level	2.620	states/eV/atom

---

A relaxed Lu2CoNi crystal. Source: Alexandria, functional PBE.

Cell lengths 3.264, 3.264, 6.607 Å; angles 90.00, 90.00, 90.00 degrees
Positions (direct):
Lu: 0.000 0.000 0.246
Lu: 0.000 0.000 0.754
Co: 0.500 0.500 0.000
Ni: 0.500 0.500 0.500

Computed properties:
formation energy	-0.382	eV/atom
E above lowest polymorph	0	meV per atom
density	11.027	g/cm³
density of states at the Fermi level	0.365	states/eV/atom

---

A relaxed MgSi3P crystal. Source: Alexandria, functional PBE.

Cell lengths 4.837, 4.837, 4.837 Å; angles 90.00, 90.00, 90.00 degrees
Positions (direct):
Mg: 0.000 0.000 0.000
Si: 0.000 0.000 0.500
Si: 0.000 0.500 0.000
Si: 0.500 0.000 0.000
P: 0.500 0.500 0.500

Computed properties:
E_form (uncorrected)	7.01	eV per formula unit
E above lowest polymorph	734	meV per atom
density	2.048	g/cm³
density of states at the Fermi level	0.632	states/eV/atom

---

A relaxed TbHO2 crystal. Source: Alexandria, functional PBE.

Cell lengths 4.348, 3.690, 6.048 Å; angles 90.00, 109.01, 90.00 degrees
Positions (direct):
Tb: 0.167 0.250 0.311
Tb: 0.833 0.750 0.689
H: 0.479 0.750 0.075
H: 0.521 0.250 0.925
O: 0.250 0.750 0.061
O: 0.265 0.750 0.548
O: 0.735 0.250 0.452
O: 0.750 0.250 0.939

Computed properties:
density	6.948	g/cm³
density of states at the Fermi level	0.000	states/eV/atom

---

A relaxed Ho2LuH crystal. Source: Alexandria, functional PBE.

Cell lengths 3.312, 3.312, 8.323 Å; angles 90.00, 90.00, 90.00 degrees
Positions (direct):
Ho: 0.000 0.000 0.194
Ho: 0.000 0.000 0.806
Lu: 0.500 0.500 0.500
H: 0.500 0.500 0.000

Computed properties:
E above lowest polymorph	295	meV per atom
density	9.199	g/cm³
density of states at the Fermi level	0.963	states/eV/atom

---

| no. | electronic total energy (eV/cell) |
| --- | --- |
| 1 | -14.819 |
| 2 | -102.167 |
| 3 | -23.490 |
| 4 | -25.008 |
| 5 | -23.457 |
| 6 | -16.261 |
| 7 | -57.050 |
| 8 | -16.588 |